VASP calculation (GGA-PBE) on a relaxed structure of Tm2SiGe2Rh5.

Unit cell a=9.635 b=9.635 c=3.530 alpha=90.00 beta=90.00 gamma=90.00
Positions (direct):
Tm 0.173 0.327 0.000
Tm 0.327 0.827 0.000
Tm 0.673 0.173 0.000
Tm 0.827 0.673 0.000
Si 0.000 0.000 0.000
Si 0.500 0.500 0.000
Ge 0.126 0.626 0.000
Ge 0.374 0.126 0.000
Ge 0.626 0.874 0.000
Ge 0.874 0.374 0.000
Rh 0.000 0.500 0.500
Rh 0.065 0.799 0.500
Rh 0.201 0.065 0.500
Rh 0.299 0.565 0.500
Rh 0.435 0.299 0.500
Rh 0.500 0.000 0.500
Rh 0.565 0.701 0.500
Rh 0.701 0.435 0.500
Rh 0.799 0.935 0.500
Rh 0.935 0.201 0.500

Properties
The theoretical density is 10.40 g/cm3. The value obtained for the total DFT energy (no corrections) is -6.833 eV/atom. Its space group is P4/mbm.

=====

VASP calculation (GGA-PBE) on a relaxed structure of USiGeRh.

Unit cell a=3.039 b=4.602 c=10.463 alpha=90.00 beta=90.00 gamma=90.00
Positions (direct):
U 0.000 0.000 0.000
U 0.500 0.500 0.500
Si 0.000 0.000 0.581
Si 0.500 0.500 0.081
Ge 0.000 0.000 0.340
Ge 0.500 0.500 0.840
Rh 0.000 0.500 0.252
Rh 0.500 0.000 0.752

Properties
The theoretical density is 10.03 g/cm3. The value obtained for the total DFT energy (no corrections) is -7.491 eV/atom. Its space group is Imm2.

=====

VASP calculation (GGA-PBE) on a relaxed structure of U2Si3GeRh4.

Unit cell a=4.123 b=4.123 c=9.939 alpha=90.00 beta=90.00 gamma=90.00
Positions (direct):
U 0.000 0.500 0.244
U 0.500 0.000 0.756
Si 0.000 0.000 0.000
Si 0.000 0.500 0.629
Si 0.500 0.000 0.371
Ge 0.500 0.500 0.000
Rh 0.000 0.000 0.500
Rh 0.000 0.500 0.866
Rh 0.500 0.000 0.134
Rh 0.500 0.500 0.500

Properties
The theoretical density is 10.27 g/cm3. The value obtained for the total DFT energy (no corrections) is -8.000 eV/atom. Its space group is P-4m2.